# Al2SbMo (GGA-PBEsol, optimized geometry)
# ΔE_f (raw) (eV per atom): 0.25
# Theoretical density (g/cm3): 6.6
# Calculated volume (Å³/cell): 68.2
# Symmetry: No. 47
# E (eV/atom): -5.87
data_Al2SbMo
_space_group_name_H-M_alt 'P 1'
_space_group_IT_number 1
_space_group_name_Hall 'P 1'
_cell_length_a 3.504
_cell_length_b 4.405
_cell_length_c 4.416
_cell_angle_alpha 90.00
_cell_angle_beta 90.00
_cell_angle_gamma 90.00
loop_
_atom_site_label
_atom_site_type_symbol
_atom_site_fract_x
_atom_site_fract_y
_atom_site_fract_z
Al1 Al 0.000 0.000 0.000
Al2 Al 0.500 0.000 0.500
Sb1 Sb 0.000 0.500 0.500
Mo1 Mo 0.500 0.500 0.000